Computed, not measured: a geometry-optimized Cs2CdBi structure at the PBEsol level of DFT.

Calculated values
Calculated volume: 44.62 Å³/atom
Symmetry: Fm-3m, No. 225
Crystal system: cubic
ΔH_f (0 K): -0.05 eV/atom

extended XYZ file:
```
4
Lattice="6.320 0.000 0.000 3.160 5.473 0.000 3.160 1.824 5.160" Properties=species:S:1:pos:R:3 pbc="T T T"
Cs 3.160 1.824 1.290
Cs 9.480 5.473 3.870
Bi 6.320 3.649 2.580
Cd 0.000 0.000 0.000
```